# SrTiGa (GGA-PBE, relaxed)
data_SrTiGa
_chemical_formula_sum 'Sr2 Ti2 Ga2'
_symmetry_space_group_name_H-M 'P 4/m m m'
_symmetry_Int_Tables_number 123
_symmetry_space_group_name_Hall '-P 4 2'
_cell_length_a 3.661
_cell_length_b 3.661
_cell_length_c 11.433
_cell_angle_alpha 90.00
_cell_angle_beta 90.00
_cell_angle_gamma 90.00
loop_
_atom_site_label
_atom_site_type_symbol
_atom_site_fract_x
_atom_site_fract_y
_atom_site_fract_z
_atom_site_occupancy
Sr1 Sr 0.000 0.000 0.181 1
Ti1 Ti 0.500 0.500 0.405 1
Ga1 Ga 0.000 0.000 0.500 1
Ga2 Ga 0.500 0.500 0.000 1
# Formation energy in eV/atom: 0.031
# DOS at the Fermi energy in states/eV per atom: 1.21
# V in Å³ per cell: 153.22
# Calculated density in kg/m³: 4448